--- 1 ---
Below is a relaxed structure of Al2NiOs2, with properties calculated at the PBE level.

Output
DOS(E_F) = 11.06 states/eV/cell
V = 70 Å³/f.u.
SG = P4/mbm (127)
size of the total moment = 0.0 μB per formula unit

Lattice parameters (Å, degrees): 6.7255 6.7255 3.0944 90.00 90.00 90.00
Closest atoms and distances in Å follow each position.
Sites, in units of the cell vectors:
Al (0.1384, 0.3616, 0.0000)  6 Os 2.46-2.54, 2 Ni 2.60, 1 Al 2.63
Al (0.3616, 0.8616, 0.0000)  6 Os 2.46-2.54, 2 Ni 2.60, 1 Al 2.63
Al (0.6384, 0.1384, 0.0000)  6 Os 2.46-2.54, 2 Ni 2.60, 1 Al 2.63
Al (0.8616, 0.6384, 0.0000)  6 Os 2.46-2.54, 2 Ni 2.60, 1 Al 2.63
Ni (0.0000, 0.0000, 0.0000)  4 Al 2.60
Ni (0.5000, 0.5000, 0.0000)  4 Al 2.60
Os (0.1611, 0.6611, 0.5000)  6 Al 2.46-2.54
Os (0.3389, 0.1611, 0.5000)  6 Al 2.46-2.54
Os (0.6611, 0.8389, 0.5000)  6 Al 2.46-2.54
Os (0.8389, 0.3389, 0.5000)  6 Al 2.46-2.54

---

--- 2 ---
Below is a relaxed structure of Al2NiOs2, with properties calculated at the PBE level.

Output
DOS(E_F) = 6.03 states/eV/cell
V = 81 Å³/f.u.
SG = I4/mmm (139)
size of the total moment = 0.0 μB per formula unit

Lattice parameters (Å, degrees): 6.9115 6.9115 6.9115 150.19 150.19 42.66
Closest atoms and distances in Å follow each position.
Sites, in units of the cell vectors:
Al (0.0986, 0.0986, 0.0000)  1 Al 2.54, 4 Os 2.64, 4 Ni 2.82
Al (0.9014, 0.9014, 0.0000)  1 Al 2.54, 4 Os 2.64, 4 Ni 2.82
Ni (0.5000, 0.5000, 0.0000)  8 Al 2.82
Os (0.2500, 0.7500, 0.5000)  4 Os 2.51, 4 Al 2.64
Os (0.7500, 0.2500, 0.5000)  4 Os 2.51, 4 Al 2.64

---

What should be chosen as the most stable of them? Choose 1.

---

--- 1 ---
Below is a relaxed structure of AlNi3Os, with properties calculated at the PBE level.

Output
DOS(E_F) = 7.00 states/eV/cell
V = 71 Å³/f.u.
SG = Pm-3m (221)
size of the total moment = 1.7 μB per formula unit

Lattice parameters (Å, degrees): 4.1367 4.1367 4.1367 90.00 90.00 90.00
Closest atoms and distances in Å follow each position.
Sites, in units of the cell vectors:
Al (0.0000, 0.0000, 0.0000)  6 Ni 2.07
Ni (0.0000, 0.0000, 0.5000)  2 Al 2.07
Ni (0.0000, 0.5000, 0.0000)  2 Al 2.07
Ni (0.5000, 0.0000, 0.0000)  2 Al 2.07
Os (0.5000, 0.5000, 0.5000)  12 Ni 2.93

---

--- 2 ---
Below is a relaxed structure of AlNi3Os, with properties calculated at the PBE level.

Output
DOS(E_F) = 6.62 states/eV/cell
V = 91 Å³/f.u.
SG = Pm-3m (221)
size of the total moment = 0.0 μB per formula unit

Lattice parameters (Å, degrees): 4.5019 4.5019 4.5019 90.00 90.00 90.00
Closest atoms and distances in Å follow each position.
Sites, in units of the cell vectors:
Al (0.0000, 0.0000, 0.0000)  12 Ni 3.18
Ni (0.0000, 0.5000, 0.5000)  2 Os 2.25
Ni (0.5000, 0.0000, 0.5000)  2 Os 2.25
Ni (0.5000, 0.5000, 0.0000)  2 Os 2.25
Os (0.5000, 0.5000, 0.5000)  6 Ni 2.25

---

What should be chosen as the most stable of them? Choose 1.

---

--- 1 ---
Below is a relaxed structure of AlNi2P, with properties calculated at the PBE level.

Output
DOS(E_F) = 0.99 states/eV/cell
V = 48 Å³/f.u.
SG = Pmm2 (25)
size of the total moment = 0.0 μB per formula unit

Lattice parameters (Å, degrees): 3.0874 3.2424 4.8166 90.00 90.00 90.00
Closest atoms and distances in Å follow each position.
Sites, in units of the cell vectors:
Al (0.0000, 0.0000, 0.0000)  6 Ni 2.37-2.45
Ni (0.0000, 0.0000, 0.5084)  2 Al 2.37-2.45, 4 P 2.38
Ni (0.5000, 0.5000, 0.2065)  2 P 2.28-2.54, 4 Al 2.45
P (0.5000, 0.5000, 0.6791)  6 Ni 2.28-2.54

---

--- 2 ---
Below is a relaxed structure of AlNi2P, with properties calculated at the PBE level.

Output
DOS(E_F) = 2.80 states/eV/cell
V = 49 Å³/f.u.
SG = F-43m (216)
size of the total moment = 0.0 μB per formula unit

Lattice parameters (Å, degrees): 4.1019 4.1019 4.1019 60.00 60.00 60.00
Closest atoms and distances in Å follow each position.
Sites, in units of the cell vectors:
Al (0.0000, 0.0000, 0.0000)  4 Ni 2.51, 4 P 2.51
Ni (0.5000, 0.5000, 0.5000)  4 Ni 2.51, 4 P 2.51
Ni (0.7500, 0.7500, 0.7500)  4 Ni 2.51, 4 Al 2.51
P (0.2500, 0.2500, 0.2500)  4 Ni 2.51, 4 Al 2.51

---

What should be chosen as the most stable of them? Choose 1.

---

--- 1 ---
Below is a relaxed structure of AlNi2P, with properties calculated at the PBE level.

Output
DOS(E_F) = 1.44 states/eV/cell
V = 48 Å³/f.u.
SG = R-3m (166)
size of the total moment = 0.0 μB per formula unit

Lattice parameters (Å, degrees): 7.5814 7.5814 7.5814 20.88 20.88 20.88
Closest atoms and distances in Å follow each position.
Sites, in units of the cell vectors:
Al (0.0000, 0.0000, 0.0000)  6 Ni 2.56, 6 Al 2.75
Ni (0.2429, 0.2429, 0.2429)  3 P 2.32, 3 Al 2.56
Ni (0.7571, 0.7571, 0.7571)  3 P 2.32, 3 Al 2.56
P (0.5000, 0.5000, 0.5000)  6 Ni 2.32

---

--- 2 ---
Below is a relaxed structure of AlNi2P, with properties calculated at the PBE level.

Output
DOS(E_F) = 1.83 states/eV/cell
V = 48 Å³/f.u.
SG = C2/m (12)
size of the total moment = 0.0 μB per formula unit

Lattice parameters (Å, degrees): 4.0588 4.0588 4.5731 100.22 100.22 40.20
Closest atoms and distances in Å follow each position.
Sites, in units of the cell vectors:
Al (0.0000, 0.0000, 0.0000)  6 Ni 2.41-2.50, 4 P 2.68
Ni (0.2467, 0.2467, 0.7384)  3 P 2.39-2.43, 3 Al 2.41-2.50, 2 Ni 2.60
Ni (0.7533, 0.7533, 0.2616)  3 P 2.39-2.43, 3 Al 2.41-2.50, 2 Ni 2.60
P (0.5000, 0.5000, 0.5000)  6 Ni 2.39-2.43

---

--- 3 ---
Below is a relaxed structure of AlNi2P, with properties calculated at the PBE level.

Output
DOS(E_F) = 1.06 states/eV/cell
V = 47 Å³/f.u.
SG = Fm-3m (225)
size of the total moment = 0.0 μB per formula unit

Lattice parameters (Å, degrees): 4.0454 4.0454 4.0454 60.00 60.00 60.00
Closest atoms and distances in Å follow each position.
Sites, in units of the cell vectors:
Al (0.0000, 0.0000, 0.0000)  8 Ni 2.48
Ni (0.2500, 0.2500, 0.2500)  4 Al 2.48, 4 P 2.48
Ni (0.7500, 0.7500, 0.7500)  4 Al 2.48, 4 P 2.48
P (0.5000, 0.5000, 0.5000)  8 Ni 2.48

---

--- 4 ---
Below is a relaxed structure of AlNi2P, with properties calculated at the PBE level.

Output
DOS(E_F) = 2.10 states/eV/cell
V = 48 Å³/f.u.
SG = Cm (8)
size of the total moment = 0.0 μB per formula unit

Lattice parameters (Å, degrees): 4.3597 4.3597 3.7992 106.17 106.17 43.98
Closest atoms and distances in Å follow each position.
Sites, in units of the cell vectors:
Al (0.0000, 0.0000, 0.0000)  7 Ni 2.38-2.56, 1 P 2.63
Ni (0.5106, 0.5106, 0.5239)  3 P 2.37-2.41, 4 Al 2.46-2.56, 2 Ni 2.59-2.63
Ni (0.7425, 0.7425, 0.1791)  3 Al 2.38-2.48, 4 P 2.42-2.59, 2 Ni 2.59-2.63
P (0.2398, 0.2398, 0.6472)  7 Ni 2.37-2.59, 1 Al 2.63

---

What should be chosen as the most stable of them? Choose 4.

---

--- 1 ---
Below is a relaxed structure of AlNi2P, with properties calculated at the PBE level.

Output
DOS(E_F) = 2.52 states/eV/cell
V = 48 Å³/f.u.
SG = P2/m (10)
size of the total moment = 0.0 μB per formula unit

Lattice parameters (Å, degrees): 4.0766 2.8139 4.5309 90.00 112.59 90.00
Closest atoms and distances in Å follow each position.
Sites, in units of the cell vectors:
Al (0.0000, 0.0000, 0.0000)  6 Ni 2.40-2.48, 4 P 2.67
Ni (0.5000, 0.0000, 0.5000)  2 Al 2.40, 4 P 2.48, 4 Ni 2.67
Ni (0.5000, 0.5000, 0.0000)  2 P 2.40, 4 Al 2.48, 4 Ni 2.67
P (0.0000, 0.5000, 0.5000)  6 Ni 2.40-2.48, 4 Al 2.67

---

--- 2 ---
Below is a relaxed structure of AlNi2P, with properties calculated at the PBE level.

Output
DOS(E_F) = 5.10 states/eV/cell
V = 50 Å³/f.u.
SG = P2_1/c (14)
size of the total moment = 0.0 μB per formula unit

Lattice parameters (Å, degrees): 6.9198 5.5538 5.2116 90.00 90.73 90.00
Closest atoms and distances in Å follow each position.
Sites, in units of the cell vectors:
Al (0.1204, 0.1205, 0.3139)  6 Ni 2.41-2.61
Al (0.1204, 0.3795, 0.8139)  6 Ni 2.41-2.61
Al (0.8796, 0.6205, 0.1861)  6 Ni 2.41-2.61
Al (0.8796, 0.8795, 0.6861)  6 Ni 2.41-2.61
Ni (0.1566, 0.6828, 0.4885)  2 P 2.24-2.27, 3 Al 2.41-2.49
Ni (0.1566, 0.8172, 0.9885)  2 P 2.24-2.27, 3 Al 2.41-2.49
Ni (0.4074, 0.1956, 0.0070)  4 P 2.25-2.37, 1 Al 2.44
Ni (0.4074, 0.3044, 0.5070)  4 P 2.25-2.37, 1 Al 2.44
Ni (0.5926, 0.6956, 0.4930)  4 P 2.25-2.37, 1 Al 2.44
Ni (0.5926, 0.8044, 0.9930)  4 P 2.25-2.37, 1 Al 2.44
Ni (0.8434, 0.1828, 0.0115)  2 P 2.24-2.27, 3 Al 2.41-2.49
Ni (0.8434, 0.3172, 0.5115)  2 P 2.24-2.27, 3 Al 2.41-2.49
P (0.3646, 0.5641, 0.1807)  6 Ni 2.24-2.37
P (0.3646, 0.9359, 0.6807)  6 Ni 2.24-2.37
P (0.6354, 0.0641, 0.3193)  6 Ni 2.24-2.37
P (0.6354, 0.4359, 0.8193)  6 Ni 2.24-2.37

---

What should be chosen as the most stable of them? Choose 2.